A plane-wave DFT calculation with GGA-PBEsol was carried out for crystalline TaIn2Ru at its relaxed geometry.

a b c (Å): 4.7477 4.7477 3.1174
angles (deg): 90.00 90.00 90.00
Fractional coordinates of all 4 atoms:
Ta 0.0000 0.0000 0.0000
In 0.0000 0.5000 0.5000
In 0.5000 0.0000 0.5000
Ru 0.5000 0.5000 0.0000

For the total moment, the calculation gives 0.000 μB per atom. The value obtained for the formation energy is 0.3373 eV per atom. The total energy is -0.502 Ry/atom. As for the space-group type: P4/mmm. The value obtained for the polymorph energy (0 for the lowest one) is 349 meV per atom.

=====

A plane-wave DFT calculation with GGA-PBEsol was carried out for crystalline TaIn2Ru at its relaxed geometry.

a b c (Å): 3.0582 4.9476 9.5076
angles (deg): 90.00 90.00 90.00
Fractional coordinates of all 8 atoms:
Ta 0.0000 0.0000 0.0000
Ta 0.5000 0.5000 0.5000
In 0.0000 0.5000 0.2346
In 0.0000 0.5000 0.7654
In 0.5000 0.0000 0.2654
In 0.5000 0.0000 0.7346
Ru 0.0000 0.0000 0.5000
Ru 0.5000 0.5000 0.0000

For the total moment, the calculation gives 0.000 μB per atom. The value obtained for the formation energy is 0.2422 eV per atom. The total energy is -0.509 Ry/atom. As for the space-group type: Immm. The value obtained for the polymorph energy (0 for the lowest one) is 254 meV per atom.

=====

A plane-wave DFT calculation with GGA-PBEsol was carried out for crystalline InTcRu2 at its relaxed geometry.

a b c (Å): 2.8240 2.8240 7.4717
angles (deg): 90.00 90.00 90.00
Fractional coordinates of all 4 atoms:
In 0.0000 0.0000 0.0000
Tc 0.0000 0.0000 0.5000
Ru 0.5000 0.5000 0.2713
Ru 0.5000 0.5000 0.7287

For the total moment, the calculation gives 0.000 μB per atom. The value obtained for the formation energy is 0.0800 eV per atom. The total energy is -0.630 Ry/atom. As for the space-group type: P4/mmm.

=====

A plane-wave DFT calculation with GGA-PBEsol was carried out for crystalline In2TcRu at its relaxed geometry.

a b c (Å): 4.0310 4.0310 8.1615
angles (deg): 90.00 90.00 90.00
Fractional coordinates of all 8 atoms:
In 0.0000 0.0000 0.0000
In 0.0000 0.5000 0.2500
In 0.5000 0.0000 0.7500
In 0.5000 0.5000 0.5000
Tc 0.0000 0.5000 0.7500
Tc 0.5000 0.0000 0.2500
Ru 0.0000 0.0000 0.5000
Ru 0.5000 0.5000 0.0000

For the total moment, the calculation gives 0.001 μB per atom. The value obtained for the formation energy is 0.3937 eV per atom. The total energy is -0.475 Ry/atom. As for the space-group type: I-4m2.

=====

A plane-wave DFT calculation with GGA-PBEsol was carried out for crystalline InTc2Ru at its relaxed geometry.

a b c (Å): 2.8079 3.8341 5.6634
angles (deg): 90.00 90.56 90.00
Fractional coordinates of all 4 atoms:
In 0.0000 0.0000 0.0000
Tc 0.0260 0.0000 0.5029
Tc 0.4785 0.5000 0.7069
Ru 0.5096 0.5000 0.2590

For the total moment, the calculation gives 0.000 μB per atom. The value obtained for the formation energy is 0.2288 eV per atom. The total energy is -0.639 Ry/atom. As for the space-group type: Pm.

=====

A plane-wave DFT calculation with GGA-PBEsol was carried out for crystalline InTcRu2 at its relaxed geometry.

a b c (Å): 6.2222 6.2222 6.2222
angles (deg): 90.00 90.00 90.00
Fractional coordinates of all 16 atoms:
In 0.0000 0.0000 0.0000
In 0.0000 0.5000 0.5000
In 0.5000 0.0000 0.5000
In 0.5000 0.5000 0.0000
Tc 0.0000 0.0000 0.5000
Tc 0.0000 0.5000 0.0000
Tc 0.5000 0.0000 0.0000
Tc 0.5000 0.5000 0.5000
Ru 0.2500 0.2500 0.2500
Ru 0.2500 0.2500 0.7500
Ru 0.2500 0.7500 0.2500
Ru 0.2500 0.7500 0.7500
Ru 0.7500 0.2500 0.2500
Ru 0.7500 0.2500 0.7500
Ru 0.7500 0.7500 0.2500
Ru 0.7500 0.7500 0.7500

For the total moment, the calculation gives 0.455 μB per atom. The value obtained for the formation energy is 0.3217 eV per atom. The total energy is -0.612 Ry/atom. As for the space-group type: Fm-3m.